A relaxed structure of Pm4DyAl, computed with GGA-PBE.

```
Pm4DyAl
1.0
4.456 -7.040 0.000
4.456 7.040 0.000
-2.097 0.000 6.006
Pm Dy Al
8 2 2
direct
0.083 0.716 0.953
0.168 0.394 0.625
0.284 0.917 0.547
0.394 0.168 0.125
0.606 0.832 0.875
0.716 0.083 0.453
0.832 0.606 0.375
0.917 0.284 0.047
0.408 0.592 0.250
0.592 0.408 0.750
0.000 0.000 0.250
0.000 0.000 0.750
```

Values from the calculation:
D(E_F) = 1.368 states/eV per atom
calculated volume = 31.4 Å³/atom
SG = No. 15
formation enthalpy at 0 K = -0.03 eV/atom